Entry from the Alexandria database: a relaxed structure of Be2TlCl (PBE).

a = 3.141 Å, b = 4.471 Å, c = 5.783 Å
α = 90.00°, β = 97.50°, γ = 90.00°
Element x y z (fractional)
Be: 0.213 0.000 0.367
Be: 0.787 0.000 0.633
Tl: 0.500 0.500 0.000
Cl: 0.000 0.500 0.500

Values from the calculation:
SG = P2/m (10)
ΔE to the lowest computed polymorph = 0.474 eV per atom
E_form (uncorrected) = 0.630 eV/atom
VASP energy = -9.14 eV/cell
magnetic moment = 0.00 μB per formula unit